Record 1
# TaMo2Ir, PBEsol geometry, DFT meta-GGA SCAN
data_TaMo2Ir
_chemical_formula_sum 'Ta1 Mo2 Ir1'
_space_group_name_H-M_alt 'P 1'
_space_group_IT_number 1
_cell_length_a 3.325
_cell_length_b 4.268
_cell_length_c 5.158
_cell_angle_alpha 114.44
_cell_angle_beta 108.80
_cell_angle_gamma 90.00
loop_
_space_group_symop_operation_xyz
'x,y,z'
loop_
_atom_site_label
_atom_site_fract_x
_atom_site_fract_y
_atom_site_fract_z
Ir1 0.000 0.500 0.000
Mo1 0.242 0.242 0.484
Mo2 0.758 0.758 0.516
Ta1 0.500 0.000 0.000
# - Crystal system: orthorhombic
# - Uncorrected energy: -208.26 eV for the cell shown
# - Energy of formation from the pure elements: -19 kJ/mol of atoms
# - M_tot: 0.00 μB/f.u.

***

Record 2
# SrMo2W, PBEsol geometry, DFT meta-GGA SCAN
data_SrMo2W
_chemical_formula_sum 'Sr1 Mo2 W1'
_space_group_name_H-M_alt 'P 1'
_space_group_IT_number 1
_cell_length_a 2.647
_cell_length_b 5.650
_cell_length_c 5.650
_cell_angle_alpha 121.01
_cell_angle_beta 90.00
_cell_angle_gamma 90.00
loop_
_space_group_symop_operation_xyz
'x,y,z'
loop_
_atom_site_label
_atom_site_fract_x
_atom_site_fract_y
_atom_site_fract_z
Mo1 0.000 0.500 0.000
Mo2 0.000 0.000 0.500
Sr1 0.500 0.000 0.000
W1 0.500 0.500 0.500
# - Crystal system: orthorhombic
# - Uncorrected energy: -156.49 eV for the cell shown
# - Energy of formation from the pure elements: 127 kJ/mol of atoms
# - M_tot: 0.00 μB/f.u.

***

Record 3
# CaInSCl2, PBEsol geometry, DFT meta-GGA SCAN
data_CaInSCl2
_chemical_formula_sum 'Ca1 In1 S1 Cl2'
_space_group_name_H-M_alt 'P 1'
_space_group_IT_number 1
_cell_length_a 5.117
_cell_length_b 5.135
_cell_length_c 5.135
_cell_angle_alpha 90.00
_cell_angle_beta 90.00
_cell_angle_gamma 90.00
loop_
_space_group_symop_operation_xyz
'x,y,z'
loop_
_atom_site_label
_atom_site_fract_x
_atom_site_fract_y
_atom_site_fract_z
In1 0.000 0.000 0.000
Cl1 0.000 0.000 0.500
Cl2 0.000 0.500 0.000
S1 0.500 0.000 0.000
Ca1 0.500 0.500 0.500
# - Uncorrected formation energy: -538.2 kJ/mol of formula units
# - Crystal system: tetragonal
# - Uncorrected energy: -74.21 eV for the cell shown
# - M_tot: 0.00 μB/f.u.

***

Record 4
# TaIr3, PBEsol geometry, DFT meta-GGA SCAN
data_TaIr3
_chemical_formula_sum 'Ta2 Ir6'
_space_group_name_H-M_alt 'P 1'
_space_group_IT_number 1
_cell_length_a 4.436
_cell_length_b 5.520
_cell_length_c 5.520
_cell_angle_alpha 120.00
_cell_angle_beta 90.00
_cell_angle_gamma 90.00
loop_
_space_group_symop_operation_xyz
'x,y,z'
loop_
_atom_site_label
_atom_site_fract_x
_atom_site_fract_y
_atom_site_fract_z
Ta1 0.250 0.333 0.667
Ta2 0.750 0.667 0.333
Ir1 0.750 0.164 0.328
Ir2 0.250 0.836 0.164
Ir3 0.250 0.836 0.672
Ir4 0.250 0.328 0.164
Ir5 0.750 0.672 0.836
Ir6 0.750 0.164 0.836
# - Crystal system: hexagonal
# - Uncorrected energy: -566.26 eV for the cell shown
# - Energy of formation from the pure elements: -78 kJ/mol of atoms
# - M_tot: 0.00 μB/f.u.

***

Record 5
# Ti2Ge2Ru, PBEsol geometry, DFT meta-GGA SCAN
data_Ti2Ge2Ru
_chemical_formula_sum 'Ti4 Ge4 Ru2'
_space_group_name_H-M_alt 'P 1'
_space_group_IT_number 1
_cell_length_a 3.785
_cell_length_b 6.311
_cell_length_c 6.311
_cell_angle_alpha 90.00
_cell_angle_beta 90.00
_cell_angle_gamma 90.00
loop_
_space_group_symop_operation_xyz
'x,y,z'
loop_
_atom_site_label
_atom_site_fract_x
_atom_site_fract_y
_atom_site_fract_z
Ge1 0.000 0.361 0.861
Ge2 0.000 0.861 0.639
Ge3 0.000 0.639 0.139
Ge4 0.000 0.139 0.361
Ru1 0.000 0.500 0.500
Ru2 0.000 0.000 0.000
Ti1 0.500 0.333 0.167
Ti2 0.500 0.167 0.667
Ti3 0.500 0.833 0.333
Ti4 0.500 0.667 0.833
# - Crystal system: tetragonal
# - Uncorrected energy: -217.08 eV for the cell shown
# - Energy of formation from the pure elements: -67 kJ/mol of atoms
# - M_tot: 0.00 μB/f.u.

***

Record 6
# ZrBeAl4, PBEsol geometry, DFT meta-GGA SCAN
data_ZrBeAl4
_chemical_formula_sum 'Zr1 Be1 Al4'
_space_group_name_H-M_alt 'P 1'
_space_group_IT_number 1
_cell_length_a 5.212
_cell_length_b 5.212
_cell_length_c 5.212
_cell_angle_alpha 60.00
_cell_angle_beta 60.00
_cell_angle_gamma 60.00
loop_
_space_group_symop_operation_xyz
'x,y,z'
loop_
_atom_site_label
_atom_site_fract_x
_atom_site_fract_y
_atom_site_fract_z
Al1 0.126 0.625 0.625
Al2 0.625 0.625 0.126
Al3 0.625 0.126 0.625
Al4 0.625 0.625 0.625
Be1 0.250 0.250 0.250
Zr1 0.000 0.000 0.000
# - Crystal system: cubic
# - Uncorrected energy: -65.67 eV for the cell shown
# - Energy of formation from the pure elements: 6 kJ/mol of atoms
# - M_tot: 0.02 μB/f.u.

***

Record 7
# LaYSc2, PBEsol geometry, DFT meta-GGA SCAN
data_LaYSc2
_chemical_formula_sum 'La1 Y1 Sc2'
_space_group_name_H-M_alt 'P 1'
_space_group_IT_number 1
_cell_length_a 3.499
_cell_length_b 4.516
_cell_length_c 6.996
_cell_angle_alpha 90.00
_cell_angle_beta 90.00
_cell_angle_gamma 90.00
loop_
_space_group_symop_operation_xyz
'x,y,z'
loop_
_atom_site_label
_atom_site_fract_x
_atom_site_fract_y
_atom_site_fract_z
Y1 0.500 0.500 0.000
La1 0.500 0.500 0.500
Sc1 0.000 0.000 0.244
Sc2 0.000 0.000 0.756
# - Crystal system: orthorhombic
# - Uncorrected energy: -99.11 eV for the cell shown
# - Energy of formation from the pure elements: 8 kJ/mol of atoms
# - M_tot: 0.07 μB/f.u.

***

Record 8
# Mn2TlAu, PBEsol geometry, DFT meta-GGA SCAN
data_Mn2TlAu
_chemical_formula_sum 'Mn2 Tl1 Au1'
_space_group_name_H-M_alt 'P 1'
_space_group_IT_number 1
_cell_length_a 3.805
_cell_length_b 4.161
_cell_length_c 4.163
_cell_angle_alpha 90.00
_cell_angle_beta 90.00
_cell_angle_gamma 90.00
loop_
_space_group_symop_operation_xyz
'x,y,z'
loop_
_atom_site_label
_atom_site_fract_x
_atom_site_fract_y
_atom_site_fract_z
Mn1 0.000 0.500 0.625
Mn2 0.000 0.000 0.125
Au1 0.500 0.500 0.125
Tl1 0.500 0.000 0.625
# - Crystal system: tetragonal
# - Uncorrected energy: -178.47 eV for the cell shown
# - Energy of formation from the pure elements: -11 kJ/mol of atoms
# - M_tot: 8.04 μB/f.u.

***

Record 9
# NaNb2TeS, PBEsol geometry, DFT meta-GGA SCAN
data_NaNb2TeS
_chemical_formula_sum 'Na1 Nb2 Te1 S1'
_space_group_name_H-M_alt 'P 1'
_space_group_IT_number 1
_cell_length_a 5.080
_cell_length_b 5.080
_cell_length_c 5.449
_cell_angle_alpha 90.00
_cell_angle_beta 90.00
_cell_angle_gamma 90.00
loop_
_space_group_symop_operation_xyz
'x,y,z'
loop_
_atom_site_label
_atom_site_fract_x
_atom_site_fract_y
_atom_site_fract_z
Na1 0.500 0.500 0.500
Te1 0.000 0.000 0.000
Nb1 0.500 0.000 0.000
Nb2 0.000 0.500 0.000
S1 0.000 0.000 0.500
# - Uncorrected formation energy: 549.9 kJ/mol of formula units
# - Crystal system: tetragonal
# - Uncorrected energy: -111.65 eV for the cell shown
# - M_tot: 4.90 μB/f.u.

***

Record 10
# Sm3Ge4Ru2, PBEsol geometry, DFT meta-GGA SCAN
data_Sm3Ge4Ru2
_chemical_formula_sum 'Sm3 Ge4 Ru2'
_space_group_name_H-M_alt 'P 1'
_space_group_IT_number 1
_cell_length_a 4.309
_cell_length_b 5.813
_cell_length_c 8.185
_cell_angle_alpha 107.84
_cell_angle_beta 90.00
_cell_angle_gamma 111.76
loop_
_space_group_symop_operation_xyz
'x,y,z'
loop_
_atom_site_label
_atom_site_fract_x
_atom_site_fract_y
_atom_site_fract_z
Ge1 0.903 0.806 0.597
Ge2 0.713 0.426 0.080
Ge3 0.287 0.574 0.920
Ge4 0.097 0.194 0.403
Sm1 0.000 0.000 0.000
Sm2 0.379 0.759 0.303
Sm3 0.621 0.241 0.697
Ru1 0.685 0.370 0.362
Ru2 0.315 0.630 0.638
# - Crystal system: monoclinic
# - Uncorrected energy: -287.08 eV for the cell shown
# - Energy of formation from the pure elements: -83 kJ/mol of atoms
# - M_tot: 0.00 μB/f.u.

***

Record 11
# K3TlZn, PBEsol geometry, DFT meta-GGA SCAN
data_K3TlZn
_chemical_formula_sum 'K3 Tl1 Zn1'
_space_group_name_H-M_alt 'P 1'
_space_group_IT_number 1
_cell_length_a 6.636
_cell_length_b 6.636
_cell_length_c 6.636
_cell_angle_alpha 90.00
_cell_angle_beta 90.00
_cell_angle_gamma 90.00
loop_
_space_group_symop_operation_xyz
'x,y,z'
loop_
_atom_site_label
_atom_site_fract_x
_atom_site_fract_y
_atom_site_fract_z
K1 0.000 0.000 0.500
K2 0.000 0.500 0.000
K3 0.500 0.000 0.000
Tl1 0.000 0.000 0.000
Zn1 0.500 0.500 0.500
# - Crystal system: cubic
# - Uncorrected energy: -109.50 eV for the cell shown
# - Energy of formation from the pure elements: 26 kJ/mol of atoms
# - M_tot: 0.00 μB/f.u.

***

Record 12
# TcMoAs2Br, PBEsol geometry, DFT meta-GGA SCAN
data_TcMoAs2Br
_chemical_formula_sum 'Tc1 Mo1 As2 Br1'
_space_group_name_H-M_alt 'P 1'
_space_group_IT_number 1
_cell_length_a 4.658
_cell_length_b 4.658
_cell_length_c 5.255
_cell_angle_alpha 90.00
_cell_angle_beta 90.00
_cell_angle_gamma 90.00
loop_
_space_group_symop_operation_xyz
'x,y,z'
loop_
_atom_site_label
_atom_site_fract_x
_atom_site_fract_y
_atom_site_fract_z
As1 0.500 0.000 0.000
As2 0.000 0.500 0.000
Mo1 0.500 0.500 0.500
Br1 0.000 0.000 0.500
Tc1 0.000 0.000 0.000
# - Uncorrected formation energy: 455.2 kJ/mol of formula units
# - Crystal system: tetragonal
# - Uncorrected energy: -125.07 eV for the cell shown
# - M_tot: 4.88 μB/f.u.

***

Record 13
# TlTcW2, PBEsol geometry, DFT meta-GGA SCAN
data_TlTcW2
_chemical_formula_sum 'Tl1 Tc1 W2'
_space_group_name_H-M_alt 'P 1'
_space_group_IT_number 1
_cell_length_a 2.802
_cell_length_b 5.239
_cell_length_c 5.239
_cell_angle_alpha 117.24
_cell_angle_beta 97.66
_cell_angle_gamma 97.66
loop_
_space_group_symop_operation_xyz
'x,y,z'
loop_
_atom_site_label
_atom_site_fract_x
_atom_site_fract_y
_atom_site_fract_z
Tl1 0.500 0.000 0.000
W1 0.000 0.000 0.500
W2 0.000 0.500 0.000
Tc1 0.500 0.500 0.500
# - Crystal system: monoclinic
# - Uncorrected energy: -243.43 eV for the cell shown
# - Energy of formation from the pure elements: 81 kJ/mol of atoms
# - M_tot: 0.01 μB/f.u.

***

Record 14
# SrCa3Rh, PBEsol geometry, DFT meta-GGA SCAN
data_SrCa3Rh
_chemical_formula_sum 'Sr1 Ca3 Rh1'
_space_group_name_H-M_alt 'P 1'
_space_group_IT_number 1
_cell_length_a 5.563
_cell_length_b 5.563
_cell_length_c 5.563
_cell_angle_alpha 90.00
_cell_angle_beta 90.00
_cell_angle_gamma 90.00
loop_
_space_group_symop_operation_xyz
'x,y,z'
loop_
_atom_site_label
_atom_site_fract_x
_atom_site_fract_y
_atom_site_fract_z
Ca1 0.000 0.000 0.500
Ca2 0.000 0.500 0.000
Ca3 0.500 0.000 0.000
Sr1 0.500 0.500 0.500
Rh1 0.000 0.000 0.000
# - Crystal system: cubic
# - Uncorrected energy: -86.19 eV for the cell shown
# - Energy of formation from the pure elements: -22 kJ/mol of atoms
# - M_tot: 0.25 μB/f.u.

***

Record 15
# PdWSeBr2, PBEsol geometry, DFT meta-GGA SCAN
data_PdWSeBr2
_chemical_formula_sum 'Pd1 W1 Se1 Br2'
_space_group_name_H-M_alt 'P 1'
_space_group_IT_number 1
_cell_length_a 4.789
_cell_length_b 5.005
_cell_length_c 5.005
_cell_angle_alpha 90.00
_cell_angle_beta 90.00
_cell_angle_gamma 90.00
loop_
_space_group_symop_operation_xyz
'x,y,z'
loop_
_atom_site_label
_atom_site_fract_x
_atom_site_fract_y
_atom_site_fract_z
Br1 0.000 0.000 0.500
Br2 0.000 0.500 0.000
Se1 0.500 0.000 0.000
Pd1 0.500 0.500 0.500
W1 0.000 0.000 0.000
# - Uncorrected formation energy: 321.0 kJ/mol of formula units
# - Crystal system: tetragonal
# - Uncorrected energy: -158.13 eV for the cell shown
# - M_tot: 0.00 μB/f.u.

***

Record 16
# TlWCl2, PBEsol geometry, DFT meta-GGA SCAN
data_TlWCl2
_chemical_formula_sum 'Tl1 W1 Cl2'
_space_group_name_H-M_alt 'P 1'
_space_group_IT_number 1
_cell_length_a 2.944
_cell_length_b 3.938
_cell_length_c 7.082
_cell_angle_alpha 90.00
_cell_angle_beta 90.00
_cell_angle_gamma 90.00
loop_
_space_group_symop_operation_xyz
'x,y,z'
loop_
_atom_site_label
_atom_site_fract_x
_atom_site_fract_y
_atom_site_fract_z
Tl1 0.000 0.000 0.516
Cl1 0.500 0.500 0.187
Cl2 0.000 0.000 0.940
W1 0.500 0.500 0.857
# - Uncorrected formation energy: 136.1 kJ/mol of formula units
# - Crystal system: orthorhombic
# - Uncorrected energy: -156.59 eV for the cell shown
# - M_tot: 0.00 μB/f.u.

***

Record 17
# ZnTcCl2, PBEsol geometry, DFT meta-GGA SCAN
data_ZnTcCl2
_chemical_formula_sum 'Zn1 Tc1 Cl2'
_space_group_name_H-M_alt 'P 1'
_space_group_IT_number 1
_cell_length_a 2.941
_cell_length_b 4.404
_cell_length_c 6.851
_cell_angle_alpha 108.75
_cell_angle_beta 102.40
_cell_angle_gamma 90.00
loop_
_space_group_symop_operation_xyz
'x,y,z'
loop_
_atom_site_label
_atom_site_fract_x
_atom_site_fract_y
_atom_site_fract_z
Zn1 0.000 0.500 0.000
Tc1 0.500 0.000 0.000
Cl1 0.851 0.851 0.702
Cl2 0.149 0.149 0.298
# - Uncorrected formation energy: -79.4 kJ/mol of formula units
# - Crystal system: orthorhombic
# - Uncorrected energy: -65.35 eV for the cell shown
# - M_tot: 0.77 μB/f.u.

***

Record 18
# SrHfCd2Fe, PBEsol geometry, DFT meta-GGA SCAN
data_SrHfCd2Fe
_chemical_formula_sum 'Sr1 Hf1 Cd2 Fe1'
_space_group_name_H-M_alt 'P 1'
_space_group_IT_number 1
_cell_length_a 5.426
_cell_length_b 5.426
_cell_length_c 5.384
_cell_angle_alpha 90.00
_cell_angle_beta 90.00
_cell_angle_gamma 90.00
loop_
_space_group_symop_operation_xyz
'x,y,z'
loop_
_atom_site_label
_atom_site_fract_x
_atom_site_fract_y
_atom_site_fract_z
Sr1 0.000 0.000 0.000
Cd1 0.000 0.500 0.000
Cd2 0.500 0.000 0.000
Hf1 0.000 0.000 0.500
Fe1 0.500 0.500 0.500
# - Crystal system: tetragonal
# - Uncorrected energy: -153.87 eV for the cell shown
# - Energy of formation from the pure elements: 194 kJ/mol of atoms
# - M_tot: 2.86 μB/f.u.

***

Record 19
# Ca3Pd2, PBEsol geometry, DFT meta-GGA SCAN
data_Ca3Pd2
_chemical_formula_sum 'Ca9 Pd6'
_space_group_name_H-M_alt 'P 1'
_space_group_IT_number 1
_cell_length_a 7.530
_cell_length_b 7.530
_cell_length_c 7.530
_cell_angle_alpha 71.56
_cell_angle_beta 71.56
_cell_angle_gamma 71.56
loop_
_space_group_symop_operation_xyz
'x,y,z'
loop_
_atom_site_label
_atom_site_fract_x
_atom_site_fract_y
_atom_site_fract_z
Pd1 0.412 0.846 0.044
Pd2 0.846 0.044 0.412
Pd3 0.956 0.588 0.154
Pd4 0.154 0.956 0.588
Pd5 0.044 0.412 0.846
Pd6 0.588 0.154 0.956
Ca1 0.397 0.157 0.666
Ca2 0.334 0.603 0.843
Ca3 0.204 0.204 0.204
Ca4 0.796 0.796 0.796
Ca5 0.000 0.000 0.000
Ca6 0.157 0.666 0.397
Ca7 0.666 0.397 0.157
Ca8 0.603 0.843 0.334
Ca9 0.843 0.334 0.603
# - Crystal system: trigonal
# - Uncorrected energy: -293.64 eV for the cell shown
# - Energy of formation from the pure elements: -64 kJ/mol of atoms
# - M_tot: 0.00 μB/f.u.

***

Record 20
# Y3ScAs, PBEsol geometry, DFT meta-GGA SCAN
data_Y3ScAs
_chemical_formula_sum 'Y3 Sc1 As1'
_space_group_name_H-M_alt 'P 1'
_space_group_IT_number 1
_cell_length_a 5.374
_cell_length_b 5.374
_cell_length_c 5.374
_cell_angle_alpha 90.00
_cell_angle_beta 90.00
_cell_angle_gamma 90.00
loop_
_space_group_symop_operation_xyz
'x,y,z'
loop_
_atom_site_label
_atom_site_fract_x
_atom_site_fract_y
_atom_site_fract_z
As1 0.000 0.000 0.000
Y1 0.000 0.000 0.500
Y2 0.000 0.500 0.000
Y3 0.500 0.000 0.000
Sc1 0.500 0.500 0.500
# - Crystal system: cubic
# - Uncorrected energy: -119.88 eV for the cell shown
# - Energy of formation from the pure elements: -37 kJ/mol of atoms
# - M_tot: 3.13 μB/f.u.